Entry 1:
LiSm2Au after structural relaxation, computed with PBE.

```
LiSm2Au
1.0
-2.376 -0.518 2.878
-2.306 -3.804 -2.588
3.261 -3.393 2.082
Au Sm Li
1 2 1
direct
0.500 0.000 0.000
0.000 0.000 0.500
0.000 0.500 0.000
0.500 0.500 0.500
```

## Properties
- Spin magnetization: 0.00 μB per formula unit
- VASP energy: -4.033 eV/atom
- Symmetry: P4/mmm, No. 123
- Calculated formation energy: -376.0 meV per atom

***

Entry 2:
Rh5Se3 after structural relaxation, computed with PBE.

```
Rh5Se3
1.0
1.958 5.264 0.020
-4.496 0.584 -3.316
-2.254 0.826 3.203
Rh Se
5 3
direct
0.000 0.000 0.000
0.000 0.500 0.000
0.500 0.000 0.000
0.280 0.280 0.500
0.720 0.720 0.500
0.500 0.500 0.000
0.809 0.191 0.500
0.191 0.809 0.500
```

## Properties
- Energy above the lowest structure with this stoichiometry: 0.40 eV per formula unit
- Spin magnetization: 0.00 μB per formula unit
- VASP energy: -5.861 eV/atom
- Symmetry: Cmmm, No. 65
- Energy relative to the elements, uncorrected: 0.04 eV/atom

***

Entry 3:
YTaH3 after structural relaxation, computed with PBE.

```
YTaH3
1.0
3.769 0.000 0.000
0.000 3.769 0.000
0.000 0.000 3.769
Y H Ta
1 3 1
direct
0.500 0.500 0.500
0.000 0.500 0.000
0.000 0.000 0.500
0.500 0.000 0.000
0.000 0.000 0.000
```

## Properties
- Energy above the lowest structure with this stoichiometry: 0.00 eV per formula unit
- Spin magnetization: 0.00 μB per formula unit
- VASP energy: -5.883 eV/atom
- Symmetry: Pm-3m, No. 221

***

Entry 4:
NaCdGa2Ru after structural relaxation, computed with PBE.

```
NaCdGa2Ru
1.0
-4.736 -0.721 0.185
0.596 -2.956 3.726
-0.490 4.063 3.301
Ru Na Ga Cd
1 1 2 1
direct
0.000 0.000 0.000
0.500 0.500 0.500
0.000 0.500 0.000
0.500 0.000 0.000
0.000 0.000 0.500
```

## Properties
- Spin magnetization: 0.00 μB per formula unit
- VASP energy: -3.613 eV/atom
- Symmetry: P4/mmm, No. 123
- Calculated formation energy: -99.8 meV per atom